## Pm2H6IrRu (GGA-PBE)

Data for a relaxed Pm2H6IrRu crystal.

Structure (POSCAR):
```
Pm2H6IrRu
1.0
-4.699 0.080 -2.354
2.253 -1.251 -4.581
0.774 -3.044 4.235
Pm H Ir Ru
2 6 1 1
direct
0.750 0.251 0.500
0.250 0.750 0.500
0.750 0.750 0.999
0.751 0.751 0.502
0.250 0.251 0.000
0.750 0.250 0.000
0.249 0.250 0.498
0.250 0.750 0.000
0.500 0.500 0.000
0.000 0.000 0.000
```

Summary:
* density: 9.48 Mg/m³
* calculated volume: 10.3 Å³ per atom
* final energy: -5.24 eV per atom
* DOS(E_F): 3.0 states/eV per cell